Here is an optimized crystal structure of CaMg3Zn3 from Alexandria via LeMat-Bulk. Energies are from PBE-GGA.

The value obtained for the density of states at the Fermi level is 8.60 states/eV per cell. The calculation puts the energy above the most stable polymorph in this dataset at 419 meV/atom. As for the formation energy: 308 meV/atom. The calculation puts the volume at 390.0 Å³ per cell.

The structure belongs to space group Pm-3n (No. 223); the cell edges are 7.306, 7.306 and 7.306 Å and the angles 90.00°, 90.00° and 90.00°. The asymmetric unit holds Ca at (0.000, 0.000, 0.000), Mg at (0.000, 0.250, 0.500) and Zn at (0.000, 0.500, 0.250).

---

Here is an optimized crystal structure of Ca2MgZn9 from Alexandria via LeMat-Bulk. Energies are from PBE-GGA.

The value obtained for the density of states at the Fermi level is 19.23 states/eV per cell. As for the formation energy: -143 meV/atom. The calculation puts the volume at 664.9 Å³ per cell.

The structure belongs to space group R-3m (No. 166, hexagonal axes); the cell edges are 5.3741, 5.3741 and 26.5818 Å and the angles 90.00°, 90.00° and 120.00°. The asymmetric unit holds Ca at (0.0000, 0.0000, 0.1420), Mg at (0.0000, 0.0000, 0.0000), Zn at (0.0000, 0.0000, 0.3342), Zn at (0.0000, 0.0000, 0.5000) and Zn at (0.0028, 0.5014, 0.9178).